TlPb5Se6 | GGA-PBE | optimized geometry

POSCAR file:
```
TlPb5Se6
1.0
7.5647 0.2044 0.0000
2.3245 7.2265 0.0000
1.1622 3.6132 6.5838
Tl Pb Se
1 5 6
Direct
0.0000 0.0000 0.0000
0.5000 0.1686 0.6629
0.0000 0.3337 0.3326
0.5000 0.5000 0.0000
0.0000 0.6663 0.6674
0.5000 0.8314 0.3371
0.7463 0.0847 0.3383
0.2537 0.5770 0.3383
0.2508 0.2546 0.0000
0.7492 0.7454 0.0000
0.7463 0.4230 0.6617
0.2537 0.9153 0.6617
```

Calculated values
Uncorrected energy = -3.9896 eV/atom
Crystal system = monoclinic
Symmetry = No. 12
DOS(E_F) = 4.72 states/eV per cell
E_form (uncorrected) = -0.5050 eV per atom